Entry 1:
Entry from OQMD via LeMat-Bulk: crystalline ErPSeS3 at its relaxed geometry (PBE-GGA).

a = 6.4556 Å, b = 6.7181 Å, c = 7.6447 Å
α = 88.31°, β = 87.30°, γ = 82.30°
Closest atoms and distances in Å follow each position.
Fractional positions:
Er1 0.2071 0.7011 0.0568  5 S 2.70-2.90, 2 Se 2.95-2.97
Er2 0.7929 0.2989 0.9432  5 S 2.70-2.90, 2 Se 2.95-2.97
P1 0.6888 0.7385 0.1843  3 S 2.01-2.08, 1 Se 2.24
P2 0.3112 0.2615 0.8157  3 S 2.01-2.08, 1 Se 2.24
S1 0.3845 0.2816 0.0758  1 P 2.08
S2 0.9089 0.4916 0.2357  1 P 2.07
S3 0.4265 0.7562 0.3393  1 P 2.01
S4 0.5735 0.2438 0.6607  1 P 2.01
S5 0.0911 0.5084 0.7643  1 P 2.07
S6 0.6155 0.7184 0.9242  1 P 2.08
Se1 0.8770 0.9887 0.2241  1 P 2.24
Se2 0.1230 0.0113 0.7759  1 P 2.24

Computed properties:
- total magnetic moment (μB/atom) = 0.00
- total energy (eV/atom) = -5.2876
- crystal system = triclinic

Entry 2:
Entry from OQMD via LeMat-Bulk: crystalline Pr3In3PtAu2 at its relaxed geometry (PBE-GGA).

a = 7.8586 Å, b = 7.8586 Å, c = 4.1434 Å
α = 90.00°, β = 90.00°, γ = 120.00°
Closest atoms and distances in Å follow each position.
Fractional positions:
Au1 0.6667 0.3333 0.5000  3 In 3.02, 6 Pr 3.16
Au2 0.3333 0.6667 0.5000  3 In 3.02, 6 Pr 3.16
In1 0.2469 0.0000 0.5000  2 Pt 2.84, 2 Au 3.02
In2 0.0000 0.2469 0.5000  2 Pt 2.84, 2 Au 3.02
In3 0.7531 0.7531 0.5000  2 Pt 2.84, 2 Au 3.02
Pr1 0.5935 0.0000 0.0000  4 Au 3.16, 1 Pt 3.19, 6 In 3.42-3.47
Pr2 0.4065 0.4065 0.0000  4 Au 3.16, 1 Pt 3.19, 6 In 3.42-3.47
Pr3 0.0000 0.5935 0.0000  4 Au 3.16, 1 Pt 3.19, 6 In 3.42-3.47
Pt1 0.0000 0.0000 0.0000  6 In 2.84

Computed properties:
- total magnetic moment (μB/atom) = 0.00
- total energy (eV/atom) = -4.7067
- crystal system = hexagonal

Entry 3:
Entry from OQMD via LeMat-Bulk: crystalline Dy2Mg3Pd2 at its relaxed geometry (PBE-GGA).

a = 10.7759 Å, b = 10.7759 Å, c = 3.6295 Å
α = 90.00°, β = 90.00°, γ = 157.42°
Closest atoms and distances in Å follow each position.
Fractional positions:
Dy1 0.6724 0.3276 0.0000  6 Pd 2.87-3.16
Dy2 0.3276 0.6724 0.0000  6 Pd 2.87-3.16
Mg1 0.5000 0.5000 0.0000  8 Mg 3.20
Mg2 0.9248 0.0752 0.5000  1 Pd 2.75
Mg3 0.0752 0.9248 0.5000  1 Pd 2.75
Pd1 0.7949 0.2051 0.5000  1 Mg 2.75, 2 Pd 2.84, 4 Dy 2.87
Pd2 0.2051 0.7949 0.5000  1 Mg 2.75, 2 Pd 2.84, 4 Dy 2.87

Computed properties:
- total magnetic moment (μB/atom) = 0.00
- total energy (eV/atom) = -3.9816
- crystal system = orthorhombic

Entry 4:
Entry from OQMD via LeMat-Bulk: crystalline Sc3Ga3Ni2Pd at its relaxed geometry (PBE-GGA).

a = 7.1321 Å, b = 7.1321 Å, c = 3.3324 Å
α = 90.00°, β = 90.00°, γ = 120.00°
Closest atoms and distances in Å follow each position.
Fractional positions:
Ga1 0.2835 0.0000 0.5000  2 Ni 2.57, 2 Pd 2.62, 2 Sc 2.81
Ga2 0.0000 0.2835 0.5000  2 Ni 2.57, 2 Pd 2.62, 2 Sc 2.81
Ga3 0.7165 0.7165 0.5000  2 Ni 2.57, 2 Pd 2.62, 2 Sc 2.81
Ni1 0.6667 0.3333 0.5000  3 Ga 2.57, 6 Sc 2.74
Ni2 0.3333 0.6667 0.5000  3 Ga 2.57, 6 Sc 2.74
Pd1 0.0000 0.0000 0.0000  6 Ga 2.62, 3 Sc 2.85
Sc1 0.6007 0.0000 0.0000  4 Ni 2.74, 6 Ga 2.81-3.04, 1 Pd 2.85
Sc2 0.3993 0.3993 0.0000  4 Ni 2.74, 6 Ga 2.81-3.04, 1 Pd 2.85
Sc3 0.0000 0.6007 0.0000  4 Ni 2.74, 6 Ga 2.81-3.04, 1 Pd 2.85

Computed properties:
- total magnetic moment (μB/atom) = 0.00
- total energy (eV/atom) = -5.6508
- crystal system = hexagonal

Entry 5:
Entry from OQMD via LeMat-Bulk: crystalline Dy3Ni2Ge4 at its relaxed geometry (PBE-GGA).

a = 5.6852 Å, b = 5.6852 Å, c = 8.0604 Å
α = 105.47°, β = 105.47°, γ = 42.98°
Closest atoms and distances in Å follow each position.
Fractional positions:
Dy1 0.0000 0.0000 0.0000  8 Ge 2.97-3.31
Dy2 0.3749 0.3749 0.3066  3 Ni 2.89-2.99, 7 Ge 2.96-3.10
Dy3 0.6251 0.6251 0.6934  3 Ni 2.89-2.99, 7 Ge 2.96-3.10
Ge1 0.7088 0.7088 0.0773  1 Ni 2.42, 2 Ge 2.70
Ge2 0.0910 0.0910 0.3990  3 Ni 2.38-2.51
Ge3 0.9090 0.9090 0.6010  3 Ni 2.38-2.51
Ge4 0.2912 0.2912 0.9227  1 Ni 2.42, 2 Ge 2.70
Ni1 0.6916 0.6916 0.3698  4 Ge 2.38-2.51
Ni2 0.3084 0.3084 0.6302  4 Ge 2.38-2.51

Computed properties:
- total magnetic moment (μB/atom) = 0.00
- total energy (eV/atom) = -5.6076
- crystal system = monoclinic

Entry 6:
Entry from OQMD via LeMat-Bulk: crystalline Cd4InSbC2 at its relaxed geometry (PBE-GGA).

a = 3.5469 Å, b = 3.5469 Å, c = 14.9138 Å
α = 90.00°, β = 90.00°, γ = 120.00°
Closest atoms and distances in Å follow each position.
Fractional positions:
C1 0.3333 0.6667 0.2480  6 Cd 2.34-2.43
C2 0.3333 0.6667 0.7520  6 Cd 2.34-2.43
Cd1 0.6667 0.3333 0.1717  3 C 2.34
Cd2 0.0000 0.0000 0.3362  3 C 2.43
Cd3 0.0000 0.0000 0.6638  3 C 2.43
Cd4 0.6667 0.3333 0.8282  3 C 2.34
In1 0.0000 0.0000 0.0000  6 Cd 3.28, 6 In 3.55
Sb1 0.6667 0.3333 0.5000  6 Cd 3.19, 6 Sb 3.55

Computed properties:
- total energy (eV/atom) = -2.6606
- crystal system = hexagonal

Entry 7:
Entry from OQMD via LeMat-Bulk: crystalline Be2ZnOs at its relaxed geometry (PBE-GGA).

a = 4.0243 Å, b = 4.0243 Å, c = 4.0243 Å
α = 60.00°, β = 60.00°, γ = 60.00°
Closest atoms and distances in Å follow each position.
Fractional positions:
Be1 0.0000 0.0000 0.0000  4 Be 2.46, 4 Os 2.46
Be2 0.2500 0.2500 0.2500  4 Zn 2.46, 4 Be 2.46
Os1 0.7500 0.7500 0.7500  4 Zn 2.46, 4 Be 2.46
Zn1 0.5000 0.5000 0.5000  4 Os 2.46, 4 Be 2.46

Computed properties:
- total magnetic moment (μB/atom) = 0.00
- total energy (eV/atom) = -4.7905
- crystal system = cubic

Entry 8:
Entry from OQMD via LeMat-Bulk: crystalline NaLiHfS3 at its relaxed geometry (PBE-GGA).

a = 13.1129 Å, b = 3.7358 Å, c = 10.2475 Å
α = 90.00°, β = 90.00°, γ = 90.00°
Closest atoms and distances in Å follow each position.
Fractional positions:
Hf1 0.0080 0.2500 0.1665  6 S 2.48-2.66
Hf2 0.5080 0.2500 0.3335  6 S 2.48-2.66
Hf3 0.4920 0.7500 0.6665  6 S 2.48-2.66
Hf4 0.9920 0.7500 0.8335  6 S 2.48-2.66
Li1 0.5152 0.7500 0.0874  4 S 2.32-2.41
Li2 0.0152 0.7500 0.4126  4 S 2.32-2.41
Li3 0.9848 0.2500 0.5874  4 S 2.32-2.41
Li4 0.4848 0.2500 0.9126  4 S 2.32-2.41
Na1 0.2638 0.7500 0.0245  5 S 2.83-2.95
Na2 0.7638 0.7500 0.4755  5 S 2.83-2.95
Na3 0.2362 0.2500 0.5245  5 S 2.83-2.95
Na4 0.7362 0.2500 0.9755  5 S 2.83-2.95
S1 0.8962 0.7500 0.0619  3 Hf 2.61-2.66
S2 0.4093 0.2500 0.1274  3 Li 2.36-2.41, 1 Hf 2.48
S3 0.1266 0.7500 0.2372  1 Li 2.32, 2 Hf 2.54
S4 0.6266 0.7500 0.2628  1 Li 2.32, 2 Hf 2.54
S5 0.9093 0.2500 0.3726  3 Li 2.36-2.41, 1 Hf 2.48
S6 0.3962 0.7500 0.4381  3 Hf 2.61-2.66
S7 0.6038 0.2500 0.5619  3 Hf 2.61-2.66
S8 0.0907 0.7500 0.6274  3 Li 2.36-2.41, 1 Hf 2.48
S9 0.3734 0.2500 0.7372  1 Li 2.32, 2 Hf 2.54
S10 0.8734 0.2500 0.7628  1 Li 2.32, 2 Hf 2.54
S11 0.5907 0.7500 0.8726  3 Li 2.36-2.41, 1 Hf 2.48
S12 0.1038 0.2500 0.9381  3 Hf 2.61-2.66

Computed properties:
- total magnetic moment (μB/atom) = 0.00
- polymorph energy (0 for the lowest one) (eV/atom) = 0.0000
- total energy (eV/atom) = -5.7053
- crystal system = orthorhombic